DFT (GGA-PBE) results for a geometry-optimized HoGa4Ni4 structure.

```
HoGa4Ni4
1.0
5.601 0.000 0.000
0.000 5.601 0.000
0.000 0.000 8.532
Ho Ga Ni
2 8 8
direct
0.250 0.750 0.250
0.750 0.250 0.750
0.028 0.250 0.053
0.250 0.028 0.553
0.250 0.472 0.553
0.472 0.250 0.053
0.528 0.750 0.947
0.750 0.528 0.447
0.750 0.972 0.447
0.972 0.750 0.947
0.030 0.250 0.338
0.250 0.030 0.838
0.250 0.470 0.838
0.470 0.250 0.338
0.530 0.750 0.662
0.750 0.530 0.162
0.750 0.970 0.162
0.970 0.750 0.662
```

Values from the calculation:
DOS at the Fermi energy: 10.88 states/eV/cell
ΔE_f: -0.435 eV per atom
Symmetry: No. 137